# PBE RbBaLi2Pt, optimized geometry
# DFT formation energy	-107.8	meV/atom
# density of states at the Fermi level	0.56	states/eV/atom
data_RbBaLi2Pt
_chemical_formula_sum 'Rb1 Ba1 Li2 Pt1'
_cell_length_a 5.437
_cell_length_b 5.437
_cell_length_c 5.947
_cell_angle_alpha 90.00
_cell_angle_beta 90.00
_cell_angle_gamma 90.00
_symmetry_space_group_name_H-M 'P 4/m m m'
_symmetry_Int_Tables_number 123
_symmetry_space_group_name_Hall '-P 4 2'
loop_
_atom_site_label
_atom_site_fract_x
_atom_site_fract_y
_atom_site_fract_z
_atom_site_occupancy
Rb1 0.000 0.000 0.000 1
Ba1 0.500 0.500 0.000 1
Li1 0.000 0.500 0.500 1
Pt1 0.500 0.500 0.500 1